Record 1
Computed, not measured: a relaxed structure of Nd5SbAu2 at the PBE-GGA level of DFT.

```
Nd5SbAu2
1.0
-4.187 4.187 6.710
4.187 -4.187 6.710
4.187 4.187 -6.710
Nd Sb Au
10 2 4
direct
0.000 0.000 0.000
0.012 0.512 0.812
0.200 0.012 0.500
0.300 0.800 0.812
0.488 0.300 0.500
0.500 0.500 0.000
0.512 0.700 0.500
0.700 0.200 0.188
0.800 0.988 0.500
0.988 0.488 0.188
0.250 0.250 0.000
0.750 0.750 0.000
0.135 0.365 0.500
0.365 0.865 0.229
0.635 0.135 0.771
0.865 0.635 0.500
```

Values from the calculation:
- M_tot (Bohr magnetons per cell) = 0.00
- ΔE_f (raw) (meV per atom) = -700

Record 2
Computed, not measured: a relaxed structure of Cs5Rb4Pt at the PBE-GGA level of DFT.

```
Cs5Rb4Pt
1.0
-7.818 7.818 3.503
7.818 -7.818 3.503
7.818 7.818 -3.503
Cs Rb Pt
5 4 1
direct
0.000 0.000 0.000
0.348 0.348 0.696
0.348 0.652 0.000
0.652 0.348 0.000
0.652 0.652 0.304
0.000 0.343 0.343
0.000 0.657 0.657
0.343 0.000 0.343
0.657 0.000 0.657
0.500 0.500 0.000
```

Values from the calculation:
- M_tot (Bohr magnetons per cell) = 0.00
- DFT formation energy (eV per atom) = -0.014

Record 3
Computed, not measured: a relaxed structure of K2AlNi at the PBE-GGA level of DFT.

```
K2AlNi
1.0
4.555 0.000 0.000
0.000 4.555 0.000
0.000 0.000 5.530
K Al Ni
2 1 1
direct
0.000 0.000 0.244
0.000 0.000 0.756
0.500 0.500 0.500
0.500 0.500 0.000
```

Values from the calculation:
- M_tot (Bohr magnetons per cell) = 0.00
- DFT formation energy (eV per atom) = 0.705

Record 4
Computed, not measured: a relaxed structure of Cs9Hg3O2 at the PBE-GGA level of DFT.

```
Cs9Hg3O2
1.0
8.786 0.000 0.000
-4.393 7.609 0.000
0.000 0.000 22.124
Cs Hg O
18 6 4
direct
0.038 0.519 0.250
0.179 0.359 0.093
0.179 0.359 0.407
0.179 0.821 0.093
0.179 0.821 0.407
0.359 0.179 0.593
0.359 0.179 0.907
0.481 0.519 0.250
0.481 0.962 0.250
0.519 0.038 0.750
0.519 0.481 0.750
0.641 0.821 0.093
0.641 0.821 0.407
0.821 0.179 0.593
0.821 0.179 0.907
0.821 0.641 0.593
0.821 0.641 0.907
0.962 0.481 0.750
0.000 0.000 0.250
0.000 0.000 0.750
0.333 0.667 0.580
0.333 0.667 0.920
0.667 0.333 0.080
0.667 0.333 0.420
0.333 0.667 0.161
0.333 0.667 0.339
0.667 0.333 0.661
0.667 0.333 0.839
```

Values from the calculation:
- M_tot (Bohr magnetons per cell) = 0.00
- ΔE_f (raw) (meV per atom) = -520

Record 5
Computed, not measured: a relaxed structure of BaCa2HoTl4 at the PBE-GGA level of DFT.

```
BaCa2HoTl4
1.0
2.774 1.602 9.459
-2.774 1.602 9.459
0.000 -3.203 9.459
Ba Ca Ho Tl
1 2 1 4
direct
0.000 0.000 0.000
0.246 0.246 0.246
0.754 0.754 0.754
0.500 0.500 0.500
0.128 0.128 0.128
0.387 0.387 0.387
0.613 0.613 0.613
0.872 0.872 0.872
```

Values from the calculation:
- M_tot (Bohr magnetons per cell) = 0.00
- DFT formation energy (eV per atom) = -0.373

Record 6
Computed, not measured: a relaxed structure of DyHfZnAu at the PBE-GGA level of DFT.

```
DyHfZnAu
1.0
0.000 3.475 3.475
3.475 0.000 3.475
3.475 3.475 0.000
Dy Hf Zn Au
1 1 1 1
direct
0.000 0.000 0.000
0.500 0.500 0.500
0.750 0.750 0.750
0.250 0.250 0.250
```

Values from the calculation:
- M_tot (Bohr magnetons per cell) = 0.79
- DFT formation energy (eV per atom) = -0.351

Record 7
Computed, not measured: a relaxed structure of Nd4ErTm2Th at the PBE-GGA level of DFT.

```
Nd4ErTm2Th
1.0
5.686 -2.558 0.000
5.686 2.558 0.000
-4.566 0.000 9.089
Nd Er Tm Th
4 1 2 1
direct
0.249 0.249 0.123
0.251 0.251 0.627
0.749 0.749 0.373
0.751 0.751 0.877
0.500 0.500 0.500
0.001 0.001 0.248
0.999 0.999 0.752
0.500 0.500 0.000
```

Values from the calculation:
- M_tot (Bohr magnetons per cell) = 0.00
- DFT formation energy (eV per atom) = 0.044

Record 8
Computed, not measured: a relaxed structure of Na8B13C3 at the PBE-GGA level of DFT.

```
Na8B13C3
1.0
5.323 0.000 0.000
0.000 2.802 0.000
-0.002 0.000 17.353
Na B C
8 13 3
direct
0.000 0.000 0.000
0.000 0.000 0.250
0.499 0.500 0.251
0.500 0.500 0.000
0.500 0.500 0.500
0.502 0.500 0.750
0.998 0.000 0.751
0.999 0.000 0.500
0.135 0.500 0.626
0.150 0.500 0.875
0.155 0.500 0.375
0.182 0.500 0.125
0.344 0.000 0.375
0.350 0.000 0.626
0.365 0.000 0.875
0.635 0.000 0.125
0.655 0.000 0.376
0.682 0.000 0.626
0.818 0.500 0.875
0.844 0.500 0.375
0.849 0.500 0.125
0.338 0.000 0.125
0.662 0.000 0.875
0.838 0.500 0.626
```

Values from the calculation:
- M_tot (Bohr magnetons per cell) = 0.00
- offset from the most stable computed form (eV/atom) = 0.0054
- DFT formation energy (eV per atom) = 0.187

Record 9
Computed, not measured: a relaxed structure of SiP3 at the PBE-GGA level of DFT.

```
SiP3
1.0
8.111 0.000 0.000
-4.055 7.024 0.000
0.000 0.000 4.071
Si P
2 6
direct
0.333 0.667 0.250
0.667 0.333 0.750
0.241 0.481 0.750
0.241 0.759 0.750
0.481 0.241 0.250
0.519 0.759 0.750
0.759 0.241 0.250
0.759 0.519 0.250
```

Values from the calculation:
- M_tot (Bohr magnetons per cell) = 0.00
- ΔE_f (raw) (meV per atom) = 344

Record 10
Computed, not measured: a relaxed structure of TaSbCl at the PBE-GGA level of DFT.

```
TaSbCl
1.0
4.674 0.000 0.000
-2.337 4.047 0.000
0.000 0.000 3.124
Ta Sb Cl
1 1 1
direct
0.000 0.000 0.000
0.667 0.333 0.500
0.333 0.667 0.000
```

Values from the calculation:
- M_tot (Bohr magnetons per cell) = 0.00
- offset from the most stable computed form (eV/atom) = 0.5327
- ΔE_f (raw) (meV per atom) = 106

Record 11
Computed, not measured: a relaxed structure of La4CePm5 at the PBE-GGA level of DFT.

```
La4CePm5
1.0
9.201 -2.536 0.000
9.201 2.536 0.000
-4.094 0.000 7.869
La Ce Pm
4 1 5
direct
0.032 0.032 0.286
0.324 0.324 0.568
0.676 0.676 0.432
0.968 0.968 0.714
0.500 0.500 0.500
0.165 0.165 0.718
0.171 0.171 0.116
0.500 0.500 0.000
0.829 0.829 0.884
0.835 0.835 0.282
```

Values from the calculation:
- M_tot (Bohr magnetons per cell) = 0.91
- DFT formation energy (eV per atom) = 0.259

Record 12
Computed, not measured: a relaxed structure of Hf3Zn2Os at the PBE-GGA level of DFT.

```
Hf3Zn2Os
1.0
4.635 0.000 0.000
-2.317 4.014 0.000
0.000 0.000 5.727
Hf Zn Os
3 2 1
direct
0.000 0.000 0.000
0.333 0.667 0.666
0.667 0.333 0.334
0.333 0.667 0.170
0.667 0.333 0.830
0.000 0.000 0.500
```

Values from the calculation:
- M_tot (Bohr magnetons per cell) = 0.00
- DFT formation energy (eV per atom) = -0.366